A geometry-optimized TeMo structure, computed with GGA-PBE.

Summary:
M_tot: 0.0 μB per formula unit
D(E_F): 3.57 states/eV per cell
E_form (uncorrected): 0.17 eV per atom

Cell and atoms, written as POSCAR:
```
TeMo
1.0
6.005 -1.672 0.000
6.005 1.672 0.000
-2.823 0.000 6.513
Te Mo
3 3
Direct
0.000 0.000 0.000
0.302 0.302 0.166
0.649 0.649 0.468
0.305 0.305 0.763
0.557 0.557 0.752
0.891 0.891 0.522
```

---

A geometry-optimized Te4Mo5 structure, computed with GGA-PBE.

Summary:
M_tot: 0.0 μB per formula unit
D(E_F): 5.31 states/eV per cell
E_form (uncorrected): 0.17 eV per atom

Cell and atoms, written as POSCAR:
```
Te4Mo5
1.0
-4.967 4.967 2.046
4.967 -4.967 2.046
4.967 4.967 -2.046
Te Mo
4 5
Direct
0.000 0.284 0.284
0.000 0.716 0.716
0.284 0.000 0.284
0.716 0.000 0.716
0.000 0.000 0.000
0.366 0.366 0.731
0.366 0.634 0.000
0.634 0.366 0.000
0.634 0.634 0.269
```

---

A geometry-optimized TeMo structure, computed with GGA-PBE.

Summary:
M_tot: 0.0 μB per formula unit
D(E_F): 3.69 states/eV per cell
E_form (uncorrected): 0.21 eV per atom

Cell and atoms, written as POSCAR:
```
TeMo
1.0
1.633 0.943 10.418
-1.633 0.943 10.418
0.000 -1.886 10.418
Te Mo
2 2
Direct
0.097 0.097 0.097
0.903 0.903 0.903
0.369 0.369 0.369
0.631 0.631 0.631
```

---

Question: Look up the M_tot of the first one.
Answer: 0.0 μB per formula unit

---

Question: Which of these has the highest E_form (uncorrected)?
Answer: number 3

---

Question: Look up the E_form (uncorrected) of the first one.
Answer: 0.17 eV per atom